## Sm2Ge5Ru3 (PBEsol)

Data for an optimized crystal structure of Sm2Ge5Ru3.

Cell and atoms, written as extended XYZ:
```
20
Lattice="-4.9091 6.1857 2.8773 4.9091 -6.1857 2.8773 4.9091 6.1857 -2.8773" Properties=species:S:1:pos:R:3 pbc="T T T"
Sm 2.2714 1.7104 0.0000
Sm 2.2714 -1.7104 2.8773
Sm 2.6377 7.8960 0.0000
Sm 2.6377 4.4753 2.8773
Ge 4.9091 -2.5701 1.4386
Ge 6.6190 1.1031 0.0000
Ge 0.0000 0.0000 1.4386
Ge 1.7099 5.0825 0.0000
Ge 4.9091 2.5701 1.4386
Ge 0.0000 3.6156 1.4386
Ge 3.1992 1.1031 2.8773
Ge 0.0000 0.0000 4.3159
Ge -1.7099 5.0825 2.8773
Ge 0.0000 8.7558 1.4386
Ru 4.0112 -4.3684 2.8773
Ru 4.9091 0.0000 1.4386
Ru 4.0112 4.3684 0.0000
Ru 0.8979 1.8173 2.8773
Ru 0.0000 6.1857 1.4386
Ru 0.8979 10.5540 0.0000
```

* ρ: 9.2 g/cm³
* calculated formation energy: -0.682 eV per atom
* space-group type: Ibam (72)